[1]
# TbLuPbC

TbLuPbC after structural relaxation (PBE, OQMD).

The structure in extended XYZ format:
```
8
Lattice="3.602 0.000 0.000 -1.801 3.119 0.000 0.000 0.000 15.983" Properties=species:S:1:pos:R:3 pbc="T T T"
Tb 0.000 2.080 1.348
Tb 1.801 1.040 14.635
Lu 0.000 2.080 6.715
Lu 1.801 1.040 9.268
Pb 0.000 2.080 11.919
Pb 1.801 1.040 4.064
C 0.000 0.000 0.000
C 0.000 0.000 7.992
```

Summary:
Calculated volume = 22.45 A^3/atom
Size of the total moment = 0.0 μB per cell
E_tot = -0.2216 Ha/atom
Symmetry = P-3m1 (164)
Crystal system = trigonal

=====

[2]
# RbNpCl6

RbNpCl6 after structural relaxation (PBE, OQMD).

The structure in extended XYZ format:
```
8
Lattice="3.524 2.035 6.485 -3.524 2.035 6.485 0.000 -4.070 6.485" Properties=species:S:1:pos:R:3 pbc="T T T"
Rb 0.000 0.000 0.000
Np 0.000 0.000 9.728
Cl -1.766 -1.019 8.259
Cl 0.000 -2.039 11.197
Cl -1.766 1.019 11.197
Cl 1.766 -1.019 8.259
Cl 0.000 2.039 8.259
Cl 1.766 1.019 11.197
```

Summary:
Calculated volume = 34.88 A^3/atom
Size of the total moment = 2.0 μB per cell
E_tot = -0.1738 Ha/atom
Symmetry = R-3m (166)
Crystal system = trigonal

=====

[3]
# LiTaInIr

LiTaInIr after structural relaxation (PBE, OQMD).

The structure in extended XYZ format:
```
4
Lattice="0.000 3.199 3.199 3.199 0.000 3.199 3.199 3.199 0.000" Properties=species:S:1:pos:R:3 pbc="T T T"
Li 0.000 0.000 0.000
Ta 3.199 3.199 3.199
In 1.600 1.600 1.600
Ir 4.799 4.799 4.799
```

Summary:
Calculated volume = 16.37 A^3/atom
Size of the total moment = 0.0 μB per cell
E_tot = -0.2388 Ha/atom
Symmetry = F-43m (216)
Crystal system = cubic